A plane-wave DFT calculation with SCAN was carried out for a PBEsol-optimized structure of MgFe3I.

Properties
DFT total energy ... -89.4 eV/cell
Uncorrected formation energy ... 1.345 eV/atom
M_tot ... 6.1 μB per cell
Space group ... Pm-3m

Cell: 4.586 4.586 4.586 Å, 90.00 90.00 90.00°
Fractional positions:
Fe 0.000 0.500 0.000
Fe 0.000 0.000 0.500
Fe 0.500 0.000 0.000
I 0.000 0.000 0.000
Mg 0.500 0.500 0.500